# CsTlRe3

A PBEsol-optimized structure of CsTlRe3 (SCAN, Alexandria via LeMat-Bulk).

```
CsTlRe3
1.0
4.933 0.000 0.000
0.000 4.933 0.000
0.000 0.000 4.933
Cs Re Tl
1 3 1
Cartesian
0.000 0.000 0.000
0.000 2.467 0.000
0.000 0.000 2.467
2.467 0.000 0.000
2.467 2.467 2.467
```

Values from the calculation:
Density of states at the Fermi level ... 0.825 states/eV per atom
ΔH_f (0 K) ... 20.98 eV/f.u.

=====

# Cs3RuRh

A PBEsol-optimized structure of Cs3RuRh (SCAN, Alexandria via LeMat-Bulk).

```
Cs3RuRh
1.0
5.586 0.000 0.000
0.000 5.586 0.000
0.000 0.000 5.586
Cs Ru Rh
3 1 1
Cartesian
0.000 2.793 0.000
0.000 0.000 2.793
2.793 0.000 0.000
0.000 0.000 0.000
2.793 2.793 2.793
```

Values from the calculation:
Density of states at the Fermi level ... 2.131 states/eV per atom
ΔH_f (0 K) ... 7.30 eV/f.u.

=====

# CsRuRh2

A PBEsol-optimized structure of CsRuRh2 (SCAN, Alexandria via LeMat-Bulk).

```
CsRuRh2
1.0
4.621 0.000 0.000
2.310 4.002 0.000
2.310 1.334 3.773
Cs Ru Rh
1 1 2
Cartesian
4.621 2.668 1.886
0.000 0.000 0.000
2.310 1.334 0.943
6.931 4.002 2.830
```

Values from the calculation:
Density of states at the Fermi level ... 0.950 states/eV per atom
ΔH_f (0 K) ... 6.06 eV/f.u.

=====

Number 1: electronic total energy -2.223 hartree per atom, total magnetic moment 4.607 μB/f.u.. Number 2: electronic total energy -1.284 hartree per atom, total magnetic moment 1.327 μB/f.u.. Number 3: electronic total energy -1.232 hartree per atom, total magnetic moment 4.068 μB/f.u..